Entry 1:
VASP calculation (GGA-PBE) on a geometry-optimized NaAgHg structure.

Structure (POSCAR):
```
NaAgHg
1.0
4.9735 -0.0405 -0.0586
2.5287 5.4024 -0.3287
-0.0658 -0.2273 5.2248
Na Ag Hg
2 2 2
Direct
0.2279 0.0732 0.5998
0.0462 0.4134 0.1441
0.3709 0.7710 0.0601
0.7540 0.0080 0.2140
0.5332 0.4542 0.5531
0.8858 0.7561 0.7009
```

Output
As for the offset from the most stable computed form: 17.6 meV per atom. Its crystal system is triclinic. The value obtained for the energy is -1.57 eV per atom. As for the energy of formation from the pure elements: -0.08 eV/atom. Its space-group type is P1.

Entry 2:
VASP calculation (GGA-PBE) on a geometry-optimized GaSiC structure.

Structure (POSCAR):
```
GaSiC
1.0
3.0861 0.0000 0.0000
-1.5430 2.6726 0.0000
0.0000 0.0000 15.1950
Si C Ga
3 3 3
Direct
0.6667 0.3333 0.7309
0.3333 0.6667 0.0643
0.0000 0.0000 0.3976
0.3333 0.6667 0.3627
0.0000 0.0000 0.6960
0.6667 0.3333 0.0294
0.6667 0.3333 0.8941
0.0000 0.0000 0.5608
0.3333 0.6667 0.2274
```

Output
As for the offset from the most stable computed form: 0.0 meV per atom. Its crystal system is trigonal. The value obtained for the energy is -5.75 eV per atom. The value obtained for the uncorrected formation energy is 138 meV per atom. Its space-group type is R3m.

Entry 3:
VASP calculation (GGA-PBE) on a geometry-optimized La2CuGeP structure.

Structure (POSCAR):
```
La2CuGeP
1.0
5.5813 0.0000 0.0000
0.0000 4.6119 0.0000
0.0000 0.0000 5.5813
P La Cu Ge
1 2 1 1
Direct
0.0000 0.0000 0.0000
0.5000 0.0000 0.0000
0.0000 0.0000 0.5000
0.5000 0.5000 0.5000
0.0000 0.5000 0.0000
```

Output
Its crystal system is tetragonal. The value obtained for the energy is -4.99 eV per atom. As for the energy of formation from the pure elements: -0.19 eV/atom. Its space-group type is P4/mmm.

Entry 4:
VASP calculation (GGA-PBE) on a geometry-optimized Be2NiIr structure.

Structure (POSCAR):
```
Be2NiIr
1.0
0.0000 2.7161 2.7161
2.7161 0.0000 2.7161
2.7161 2.7161 0.0000
Be Ir Ni
2 1 1
Direct
0.7500 0.7500 0.7500
0.2500 0.2500 0.2500
0.5000 0.5000 0.5000
0.0000 0.0000 0.0000
```

Output
As for the offset from the most stable computed form: 0.0 meV per atom. Its crystal system is cubic. The value obtained for the energy is -6.10 eV per atom. As for the energy of formation from the pure elements: -0.58 eV/atom. Its space-group type is Fm-3m.

Entry 5:
VASP calculation (GGA-PBE) on a geometry-optimized IrCBr3 structure.

Structure (POSCAR):
```
IrCBr3
1.0
4.6223 0.0000 0.0000
0.0000 4.6223 0.0000
0.0000 0.0000 4.6223
C Br Ir
1 3 1
Direct
0.0000 0.0000 0.0000
0.0000 0.5000 0.0000
0.0000 0.0000 0.5000
0.5000 0.0000 0.0000
0.5000 0.5000 0.5000
```

Output
As for the offset from the most stable computed form: 259.3 meV per atom. Its crystal system is cubic. The value obtained for the energy is -2.72 eV per atom. The value obtained for the uncorrected formation energy is 1902 meV per atom. Its space-group type is Pm-3m.

Entry 6:
VASP calculation (GGA-PBE) on a geometry-optimized Li2DyAgI6 structure.

Structure (POSCAR):
```
Li2DyAgI6
1.0
-3.6563 -4.1884 -5.1872
-5.6750 -4.5898 2.1320
-7.7776 2.3796 -2.0129
I Li Ag Dy
6 2 1 1
Direct
0.9251 0.6018 0.2194
0.1274 0.3969 0.7252
0.2539 0.9250 0.2194
0.3966 0.7506 0.7251
0.7503 0.1277 0.7251
0.6018 0.2537 0.2194
0.5253 0.5244 0.4252
0.0012 0.0012 0.9966
0.7482 0.7485 0.7548
0.3317 0.3318 0.0049
```

Output
Its crystal system is trigonal. The value obtained for the energy is -3.12 eV per atom. The value obtained for the uncorrected formation energy is -1059 meV per atom. Its space-group type is R3.